Record 1
The following is a DFT calculation (PBE-GGA) of an optimized crystal structure of TbDyNiAg.

Lattice parameters (Å, degrees): 7.0468 7.0468 7.0468 90.00 90.00 90.00
Space group F-43m (No. 216)
Inequivalent atoms, fractional coordinates:
Tb1 0.0000 0.0000 0.0000 (multiplicity 4)
Dy1 0.0000 0.0000 0.5000 (multiplicity 4)
Ni1 0.2500 0.2500 0.7500 (multiplicity 4)
Ag1 0.2500 0.2500 0.2500 (multiplicity 4)

Values from the calculation:
DOS at the Fermi energy = 12.1 states/eV/cell
total DFT energy (no corrections) = -4.7729 eV per atom
formation energy from the elements = -0.31 eV/atom
ρ = 9.26 Mg/m³

=====

Record 2
The following is a DFT calculation (PBE-GGA) of an optimized crystal structure of DyThNiAg.

Lattice parameters (Å, degrees): 7.1694 7.1694 7.1694 90.00 90.00 90.00
Space group F-43m (No. 216)
Inequivalent atoms, fractional coordinates:
Dy1 0.0000 0.0000 0.0000 (multiplicity 4)
Th1 0.0000 0.0000 0.5000 (multiplicity 4)
Ni1 0.2500 0.2500 0.7500 (multiplicity 4)
Ag1 0.2500 0.2500 0.2500 (multiplicity 4)

Values from the calculation:
DOS at the Fermi energy = 18.2 states/eV/cell
total DFT energy (no corrections) = -5.3445 eV per atom
formation energy from the elements = -0.18 eV/atom
ρ = 10.11 Mg/m³

=====

Record 3
The following is a DFT calculation (PBE-GGA) of an optimized crystal structure of DyYNiAg.

Lattice parameters (Å, degrees): 7.0433 7.0433 7.0433 90.00 90.00 90.00
Space group F-43m (No. 216)
Inequivalent atoms, fractional coordinates:
Dy1 0.0000 0.0000 0.0000 (multiplicity 4)
Y1 0.0000 0.0000 0.5000 (multiplicity 4)
Ni1 0.2500 0.2500 0.7500 (multiplicity 4)
Ag1 0.2500 0.2500 0.2500 (multiplicity 4)

Values from the calculation:
DOS at the Fermi energy = 12.7 states/eV/cell
total DFT energy (no corrections) = -5.2349 eV per atom
formation energy from the elements = -0.31 eV/atom
ρ = 7.95 Mg/m³

=====

Record 4
The following is a DFT calculation (PBE-GGA) of an optimized crystal structure of DyZnNiAg.

Lattice parameters (Å, degrees): 6.5987 6.5987 6.5987 90.00 90.00 90.00
Space group F-43m (No. 216)
Inequivalent atoms, fractional coordinates:
Dy1 0.0000 0.0000 0.0000 (multiplicity 4)
Zn1 0.0000 0.0000 0.5000 (multiplicity 4)
Ni1 0.2500 0.2500 0.2500 (multiplicity 4)
Ag1 0.2500 0.2500 0.7500 (multiplicity 4)

Values from the calculation:
DOS at the Fermi energy = 13.1 states/eV/cell
total DFT energy (no corrections) = -3.8216 eV per atom
formation energy from the elements = -0.19 eV/atom
ρ = 9.12 Mg/m³

=====

Record 5
The following is a DFT calculation (PBE-GGA) of an optimized crystal structure of Dy2Zn5Ni2Ag.

Lattice parameters (Å, degrees): 9.1406 9.1406 4.1077 90.00 90.00 90.00
Space group P4/mbm (No. 127)
Inequivalent atoms, fractional coordinates:
Dy1 0.1800 0.3200 0.0000 (multiplicity 4)
Zn1 0.0000 0.5000 0.5000 (multiplicity 2)
Zn2 0.0607 0.7893 0.5000 (multiplicity 8)
Ni1 0.1120 0.6120 0.0000 (multiplicity 4)
Ag1 0.0000 0.0000 0.0000 (multiplicity 2)

Values from the calculation:
DOS at the Fermi energy = 11.9 states/eV/cell
total DFT energy (no corrections) = -3.3036 eV per atom
formation energy from the elements = -0.30 eV/atom
ρ = 8.49 Mg/m³

=====

Record 6
The following is a DFT calculation (PBE-GGA) of an optimized crystal structure of DyZrNiAg.

Lattice parameters (Å, degrees): 6.8542 6.8542 6.8542 90.00 90.00 90.00
Space group F-43m (No. 216)
Inequivalent atoms, fractional coordinates:
Dy1 0.0000 0.0000 0.0000 (multiplicity 4)
Zr1 0.0000 0.0000 0.5000 (multiplicity 4)
Ni1 0.2500 0.2500 0.7500 (multiplicity 4)
Ag1 0.2500 0.2500 0.2500 (multiplicity 4)

Values from the calculation:
DOS at the Fermi energy = 17.7 states/eV/cell
total DFT energy (no corrections) = -5.5896 eV per atom
formation energy from the elements = -0.14 eV/atom
ρ = 8.67 Mg/m³

=====

Record 7
The following is a DFT calculation (PBE-GGA) of an optimized crystal structure of Dy2NpAgO8.

Lattice parameters (Å, degrees): 5.0254 5.0310 7.1121 84.90 85.02 85.74
Space group P-1 (No. 2)
Inequivalent atoms, fractional coordinates:
Dy1 0.0343 0.0346 0.2362 (multiplicity 2)
Np1 0.5000 0.5000 0.5000 (multiplicity 1)
Ag1 0.5000 0.5000 0.0000 (multiplicity 1)
O1 0.2012 0.7975 0.0006 (multiplicity 2)
O2 0.2047 0.7915 0.5001 (multiplicity 2)
O3 0.2877 0.2839 0.6753 (multiplicity 2)
O4 0.3404 0.3382 0.2544 (multiplicity 2)

Values from the calculation:
total DFT energy (no corrections) = -7.8128 eV per atom
ρ = 7.44 Mg/m³

=====

Record 8
The following is a DFT calculation (PBE-GGA) of an optimized crystal structure of DyNpAgS4.

Lattice parameters (Å, degrees): 7.8992 8.0421 11.2078 90.00 90.00 90.00
Space group Imma (No. 74)
Inequivalent atoms, fractional coordinates:
Dy1 0.2500 0.2500 0.2500 (multiplicity 4)
Np1 0.0000 0.0000 0.0000 (multiplicity 4)
Ag1 0.0000 0.2500 0.6299 (multiplicity 4)
S1 0.0000 0.0151 0.2388 (multiplicity 8)
S2 0.2294 0.2500 0.0052 (multiplicity 8)

Values from the calculation:
DOS at the Fermi energy = 38.6 states/eV/cell
total DFT energy (no corrections) = -6.5669 eV per atom
ρ = 5.93 Mg/m³

=====

Record 9
The following is a DFT calculation (PBE-GGA) of an optimized crystal structure of Dy2NpAg3Se6.

Lattice parameters (Å, degrees): 17.6845 4.2026 8.0035 90.00 99.29 90.00
Space group C2/m (No. 12)
Inequivalent atoms, fractional coordinates:
Dy1 0.1669 0.0000 0.3427 (multiplicity 4)
Np1 0.0000 0.5000 0.0000 (multiplicity 2)
Ag1 0.0000 0.5000 0.5000 (multiplicity 2)
Ag2 0.1578 0.0000 0.8579 (multiplicity 4)
Se1 0.0020 0.0000 0.2525 (multiplicity 4)
Se2 0.1682 0.5000 0.0955 (multiplicity 4)
Se3 0.1688 0.5000 0.5900 (multiplicity 4)

Values from the calculation:
DOS at the Fermi energy = 15.1 states/eV/cell
total DFT energy (no corrections) = -5.3024 eV per atom
ρ = 7.69 Mg/m³

=====

Record 10
The following is a DFT calculation (PBE-GGA) of an optimized crystal structure of DyNp2AgTe5.

Lattice parameters (Å, degrees): 4.3206 18.6802 13.1951 90.00 90.00 90.00
Space group Cmc2_1 (No. 36)
Inequivalent atoms, fractional coordinates:
Dy1 0.0000 0.1939 0.0000 (multiplicity 4)
Np1 0.0000 0.1136 0.6732 (multiplicity 4)
Np2 0.0000 0.1225 0.2980 (multiplicity 4)
Ag1 0.0000 0.4308 0.4482 (multiplicity 4)
Te1 0.0000 0.0414 0.0688 (multiplicity 4)
Te2 0.0000 0.2892 0.6630 (multiplicity 4)
Te3 0.0000 0.3043 0.3292 (multiplicity 4)
Te4 0.0000 0.3597 0.9910 (multiplicity 4)
Te5 0.0000 0.5001 0.2651 (multiplicity 4)

Values from the calculation:
DOS at the Fermi energy = 56.0 states/eV/cell
total DFT energy (no corrections) = -6.1786 eV per atom
ρ = 8.62 Mg/m³

=====

Record 11
The following is a DFT calculation (PBE-GGA) of an optimized crystal structure of Dy2AgO.

Lattice parameters (Å, degrees): 3.5897 3.5897 21.4097 90.00 90.00 120.00
Space group R-3m (No. 166, hexagonal axes)
Inequivalent atoms, fractional coordinates:
Dy1 0.0000 0.0000 0.2290 (multiplicity 6)
Ag1 0.0000 0.0000 0.0000 (multiplicity 3)
O1 0.0000 0.0000 0.5000 (multiplicity 3)

Values from the calculation:
DOS at the Fermi energy = 9.2 states/eV/cell
total DFT energy (no corrections) = -5.6410 eV per atom
ρ = 9.36 Mg/m³

=====

Record 12
The following is a DFT calculation (PBE-GGA) of an optimized crystal structure of DyAgO3.

Lattice parameters (Å, degrees): 3.9225 11.8049 5.8744 90.00 90.00 90.00
Space group Cmcm (No. 63)
Inequivalent atoms, fractional coordinates:
Dy1 0.0000 0.1965 0.2500 (multiplicity 4)
Ag1 0.0000 0.4734 0.2500 (multiplicity 4)
O1 0.0000 0.0013 0.2500 (multiplicity 4)
O2 0.0000 0.3369 0.5232 (multiplicity 8)

Values from the calculation:
DOS at the Fermi energy = 11.5 states/eV/cell
total DFT energy (no corrections) = -6.0462 eV per atom
ρ = 7.77 Mg/m³

=====

Record 13
The following is a DFT calculation (PBE-GGA) of an optimized crystal structure of Dy3AgO6.

Lattice parameters (Å, degrees): 8.9461 11.1647 5.6022 90.00 90.00 90.00
Space group Cmc2_1 (No. 36)
Inequivalent atoms, fractional coordinates:
Dy1 0.0000 0.1014 0.0000 (multiplicity 4)
Dy2 0.2046 0.3855 0.9456 (multiplicity 8)
Ag1 0.0000 0.3547 0.4416 (multiplicity 4)
O1 0.0000 0.2797 0.7816 (multiplicity 4)
O2 0.0000 0.4790 0.1500 (multiplicity 4)
O3 0.1570 0.2390 0.2229 (multiplicity 8)
O4 0.1599 0.0165 0.7220 (multiplicity 8)

Values from the calculation:
DOS at the Fermi energy = 20.6 states/eV/cell
total DFT energy (no corrections) = -7.2559 eV per atom
ρ = 8.21 Mg/m³

=====

Record 14
The following is a DFT calculation (PBE-GGA) of an optimized crystal structure of DyAgO2.

Lattice parameters (Å, degrees): 3.4510 3.4510 17.4803 90.00 90.00 120.00
Space group R3m (No. 160, hexagonal axes)
Inequivalent atoms, fractional coordinates:
Dy1 0.0000 0.0000 0.0000 (multiplicity 3)
Ag1 0.0000 0.0000 0.1742 (multiplicity 3)
O1 0.0000 0.0000 0.3975 (multiplicity 3)
O2 0.0000 0.0000 0.6009 (multiplicity 3)

Values from the calculation:
total DFT energy (no corrections) = -6.4301 eV per atom
ρ = 8.35 Mg/m³

=====

Record 15
The following is a DFT calculation (PBE-GGA) of an optimized crystal structure of Dy2AgOsO8.

Lattice parameters (Å, degrees): 7.0986 6.7633 7.0418 90.00 93.50 90.00
Space group C2/m (No. 12)
Inequivalent atoms, fractional coordinates:
Dy1 0.0253 0.0000 0.2581 (multiplicity 4)
Ag1 0.0000 0.5000 0.5000 (multiplicity 2)
Os1 0.0000 0.5000 0.0000 (multiplicity 2)
O1 0.0000 0.1983 0.5000 (multiplicity 4)
O2 0.0000 0.2217 0.0000 (multiplicity 4)
O3 0.1537 0.5000 0.7848 (multiplicity 4)
O4 0.2099 0.5000 0.1681 (multiplicity 4)

Values from the calculation:
DOS at the Fermi energy = 5.3 states/eV/cell
total DFT energy (no corrections) = -7.0633 eV per atom
ρ = 7.39 Mg/m³

=====

Record 16
The following is a DFT calculation (PBE-GGA) of an optimized crystal structure of DyPaAg2O6.

Lattice parameters (Å, degrees): 9.9528 6.2372 5.7840 90.00 124.89 90.00
Space group C2/m (No. 12)
Inequivalent atoms, fractional coordinates:
Dy1 0.0000 0.0000 0.0000 (multiplicity 2)
Pa1 0.0000 0.5000 0.5000 (multiplicity 2)
Ag1 0.2469 0.0000 0.7988 (multiplicity 4)
O1 0.0800 0.2531 0.8238 (multiplicity 8)
O2 0.2390 0.5000 0.5824 (multiplicity 4)

Values from the calculation:
DOS at the Fermi energy = 21.1 states/eV/cell
total DFT energy (no corrections) = -6.9736 eV per atom
ρ = 7.95 Mg/m³

=====

Record 17
The following is a DFT calculation (PBE-GGA) of an optimized crystal structure of DyAgPtO4.

Lattice parameters (Å, degrees): 6.4330 7.0042 9.0492 90.00 90.00 90.00
Space group Imma (No. 74)
Inequivalent atoms, fractional coordinates:
Dy1 0.0000 0.0000 0.0000 (multiplicity 4)
Ag1 0.0000 0.2500 0.3656 (multiplicity 4)
Pt1 0.2500 0.2500 0.7500 (multiplicity 4)
O1 0.0000 0.0611 0.7483 (multiplicity 8)
O2 0.2209 0.2500 0.9788 (multiplicity 8)

Values from the calculation:
total DFT energy (no corrections) = -6.2021 eV per atom
ρ = 8.62 Mg/m³

=====

Record 18
The following is a DFT calculation (PBE-GGA) of an optimized crystal structure of DyPuAg2O8.

Lattice parameters (Å, degrees): 6.8145 6.8145 7.4686 90.00 90.00 90.00
Space group I-4m2 (No. 119)
Inequivalent atoms, fractional coordinates:
Dy1 0.0000 0.0000 0.0000 (multiplicity 2)
Pu1 0.0000 0.5000 0.7500 (multiplicity 2)
Ag1 0.0000 0.0000 0.5000 (multiplicity 2)
Ag2 0.0000 0.5000 0.2500 (multiplicity 2)
O1 0.0000 0.2131 0.7291 (multiplicity 8)
O2 0.0000 0.3274 0.0304 (multiplicity 8)

Values from the calculation:
DOS at the Fermi energy = 11.4 states/eV/cell
total DFT energy (no corrections) = -6.6816 eV per atom
ρ = 7.18 Mg/m³

=====

Record 19
The following is a DFT calculation (PBE-GGA) of an optimized crystal structure of DyPuAgO6.

Lattice parameters (Å, degrees): 5.1745 5.1745 9.9616 90.00 90.00 90.00
Space group P4_2nm (No. 102)
Inequivalent atoms, fractional coordinates:
Dy1 0.0000 0.0000 0.0000 (multiplicity 2)
Pu1 0.0000 0.0000 0.6580 (multiplicity 2)
Ag1 0.0000 0.0000 0.3251 (multiplicity 2)
O1 0.1762 0.1762 0.8075 (multiplicity 4)
O2 0.1881 0.1881 0.5096 (multiplicity 4)
O3 0.2175 0.2175 0.1566 (multiplicity 4)

Values from the calculation:
DOS at the Fermi energy = 12.2 states/eV/cell
total DFT energy (no corrections) = -7.8223 eV per atom
ρ = 7.60 Mg/m³

=====

Record 20
The following is a DFT calculation (PBE-GGA) of an optimized crystal structure of DyPu2AgO8.

Lattice parameters (Å, degrees): 5.3700 5.3700 10.4936 90.00 90.00 90.00
Space group I-4m2 (No. 119)
Inequivalent atoms, fractional coordinates:
Dy1 0.0000 0.0000 0.0000 (multiplicity 2)
Pu1 0.0000 0.0000 0.5000 (multiplicity 2)
Pu2 0.0000 0.5000 0.7500 (multiplicity 2)
Ag1 0.0000 0.5000 0.2500 (multiplicity 2)
O1 0.2272 0.2559 0.6228 (multiplicity 16)

Values from the calculation:
DOS at the Fermi energy = 26.6 states/eV/cell
total DFT energy (no corrections) = -8.5893 eV per atom
ρ = 9.73 Mg/m³

=====

Record 21
The following is a DFT calculation (PBE-GGA) of an optimized crystal structure of RbDyAgO3.

Lattice parameters (Å, degrees): 7.0967 3.5689 9.9942 90.00 110.73 90.00
Space group P2_1/m (No. 11)
Inequivalent atoms, fractional coordinates:
Rb1 0.2481 0.2500 0.2503 (multiplicity 2)
Dy1 0.3306 0.7500 0.8649 (multiplicity 2)
Ag1 0.1412 0.2500 0.5763 (multiplicity 2)
O1 0.1060 0.2500 0.7999 (multiplicity 2)
O2 0.3032 0.7500 0.6146 (multiplicity 2)
O3 0.4463 0.7500 0.1000 (multiplicity 2)

Values from the calculation:
DOS at the Fermi energy = 5.6 states/eV/cell
total DFT energy (no corrections) = -5.5695 eV per atom
ρ = 5.67 Mg/m³